Entry 1:
LaTbSm2Er4 | GGA-PBE | optimized geometry

raw total energy = -4.635 eV/atom

Cell lengths 7.181, 10.001, 7.186 Å; angles 90.00, 90.09, 90.00 degrees
Positions (direct):
La: 0.000 0.000 0.000
La: 0.500 0.000 0.000
Tb: 0.000 0.000 0.500
Tb: 0.000 0.500 0.000
Sm: 0.000 0.500 0.500
Sm: 0.500 0.000 0.500
Sm: 0.500 0.500 0.000
Sm: 0.500 0.500 0.500
Er: 0.249 0.252 0.252
Er: 0.249 0.252 0.748
Er: 0.249 0.748 0.252
Er: 0.249 0.748 0.748
Er: 0.751 0.252 0.252
Er: 0.751 0.252 0.748
Er: 0.751 0.748 0.252
Er: 0.751 0.748 0.748



Entry 2:
VP2IrS | GGA-PBE | optimized geometry

raw total energy = -5.632 eV/atom
uncorrected formation energy = 953.5 meV per atom
ΔE to the lowest computed polymorph = 149.6 meV/atom

Cell lengths 4.480, 4.480, 4.964 Å; angles 90.00, 90.00, 90.00 degrees
Positions (direct):
V: 0.000 0.000 0.000
P: 0.000 0.500 0.500
P: 0.500 0.000 0.500
Ir: 0.500 0.500 0.500
S: 0.500 0.500 0.000



Entry 3:
AlC5 | GGA-PBE | optimized geometry

raw total energy = -6.858 eV/atom
ΔE to the lowest computed polymorph = 756.3 meV/atom

Cell lengths 3.483, 5.780, 5.780 Å; angles 24.80, 90.00, 90.00 degrees
Positions (direct):
Al: 0.000 0.000 0.000
C: 0.000 0.239 0.239
C: 0.000 0.663 0.663
C: 0.500 0.298 0.298
C: 0.500 0.432 0.432
C: 0.500 0.723 0.723



Entry 4:
CrOsRh2 | GGA-PBE | optimized geometry

raw total energy = -8.902 eV/atom
ΔE to the lowest computed polymorph = 50.6 meV/atom

Cell lengths 4.682, 4.682, 4.682 Å; angles 132.57, 132.57, 69.32 degrees
Positions (direct):
Cr: 0.000 0.000 0.000
Os: 0.500 0.500 0.000
Rh: 0.250 0.750 0.500
Rh: 0.750 0.250 0.500



Entry 5:
YGaIr2 | GGA-PBE | optimized geometry

raw total energy = -7.371 eV/atom

Cell lengths 4.330, 4.330, 3.650 Å; angles 90.00, 90.00, 90.00 degrees
Positions (direct):
Y: 0.000 0.000 0.000
Ga: 0.500 0.500 0.000
Ir: 0.000 0.500 0.500
Ir: 0.500 0.000 0.500



Entry 6:
Y2GaAg | GGA-PBE | optimized geometry

raw total energy = -5.177 eV/atom

Cell lengths 3.564, 3.564, 7.445 Å; angles 90.00, 90.00, 90.00 degrees
Positions (direct):
Y: 0.000 0.000 0.246
Y: 0.000 0.000 0.754
Ga: 0.500 0.500 0.000
Ag: 0.500 0.500 0.500



Entry 7:
Ba2Li4Bi3Sb | GGA-PBE | optimized geometry

raw total energy = -3.425 eV/atom
uncorrected formation energy = -698.7 meV per atom

Cell lengths 4.871, 4.871, 11.918 Å; angles 90.00, 90.00, 90.00 degrees
Positions (direct):
Ba: 0.000 0.500 0.244
Ba: 0.500 0.000 0.756
Li: 0.000 0.000 0.000
Li: 0.000 0.500 0.634
Li: 0.500 0.000 0.366
Li: 0.500 0.500 0.000
Bi: 0.000 0.500 0.868
Bi: 0.500 0.000 0.132
Bi: 0.500 0.500 0.500
Sb: 0.000 0.000 0.500



Entry 8:
YMo2Se | GGA-PBE | optimized geometry

raw total energy = -7.872 eV/atom
uncorrected formation energy = 31.1 meV per atom

Cell lengths 3.828, 3.859, 5.167 Å; angles 90.00, 90.00, 90.00 degrees
Positions (direct):
Y: 0.000 0.000 0.000
Mo: 0.000 0.500 0.500
Mo: 0.500 0.000 0.500
Se: 0.500 0.500 0.000



Entry 9:
Nd9Y2Ho3 | GGA-PBE | optimized geometry

raw total energy = -4.729 eV/atom

Cell lengths 9.070, 9.070, 14.071 Å; angles 90.00, 90.00, 120.00 degrees
Positions (direct):
Nd: 0.081 0.481 0.250
Nd: 0.132 0.726 0.042
Nd: 0.132 0.726 0.458
Nd: 0.274 0.406 0.042
Nd: 0.274 0.406 0.458
Nd: 0.401 0.919 0.250
Nd: 0.406 0.132 0.542
Nd: 0.406 0.132 0.958
Nd: 0.481 0.401 0.750
Nd: 0.519 0.599 0.250
Nd: 0.594 0.868 0.042
Nd: 0.594 0.868 0.458
Nd: 0.599 0.081 0.750
Nd: 0.726 0.594 0.542
Nd: 0.726 0.594 0.958
Nd: 0.868 0.274 0.542
Nd: 0.868 0.274 0.958
Nd: 0.919 0.519 0.750
Y: 0.333 0.667 0.642
Y: 0.333 0.667 0.858
Y: 0.667 0.333 0.142
Y: 0.667 0.333 0.358
Ho: 0.077 0.249 0.750
Ho: 0.172 0.923 0.750
Ho: 0.249 0.172 0.250
Ho: 0.751 0.828 0.750
Ho: 0.828 0.077 0.250
Ho: 0.923 0.751 0.250



Entry 10:
Mn2TlOs | GGA-PBE | optimized geometry

raw total energy = -7.524 eV/atom
ΔE to the lowest computed polymorph = 48.1 meV/atom

Cell lengths 2.924, 2.924, 7.490 Å; angles 90.00, 90.00, 90.00 degrees
Positions (direct):
Mn: 0.000 0.000 0.000
Mn: 0.500 0.500 0.220
Tl: 0.500 0.500 0.705
Os: 0.000 0.000 0.404



Entry 11:
Ca2AcPr3Te6 | GGA-PBE | optimized geometry

raw total energy = -4.939 eV/atom
uncorrected formation energy = -1497.0 meV per atom

Cell lengths 7.849, 7.849, 7.991 Å; angles 99.46, 99.46, 120.05 degrees
Positions (direct):
Ca: 0.169 0.831 0.000
Ca: 0.831 0.169 0.000
Ac: 0.500 0.500 0.000
Pr: 0.000 0.000 0.500
Pr: 0.339 0.661 0.500
Pr: 0.661 0.339 0.500
Te: 0.072 0.416 0.750
Te: 0.236 0.236 0.245
Te: 0.416 0.072 0.750
Te: 0.584 0.928 0.250
Te: 0.764 0.764 0.755
Te: 0.928 0.584 0.250



Entry 12:
HgMoCl3 | GGA-PBE | optimized geometry

raw total energy = -3.961 eV/atom
uncorrected formation energy = -626.7 meV per atom
ΔE to the lowest computed polymorph = 0.0 meV/atom

Cell lengths 3.205, 8.496, 10.117 Å; angles 95.17, 99.00, 90.10 degrees
Positions (direct):
Hg: 0.000 0.000 0.000
Hg: 0.052 0.675 0.109
Mo: 0.331 0.428 0.658
Mo: 0.728 0.248 0.451
Cl: 0.142 0.311 0.277
Cl: 0.305 0.141 0.607
Cl: 0.385 0.688 0.765
Cl: 0.674 0.988 0.344
Cl: 0.754 0.534 0.502
Cl: 0.917 0.365 0.832



Entry 13:
Zr2AlPb | GGA-PBE | optimized geometry

raw total energy = -6.388 eV/atom

Cell lengths 5.742, 5.742, 5.742 Å; angles 136.79, 136.79, 62.76 degrees
Positions (direct):
Zr: 0.000 0.000 0.000
Zr: 0.750 0.250 0.500
Al: 0.500 0.500 0.000
Pb: 0.250 0.750 0.500



Entry 14:
RbZrTl | GGA-PBE | optimized geometry

raw total energy = -3.801 eV/atom
ΔE to the lowest computed polymorph = 94.5 meV/atom

Cell lengths 3.519, 4.975, 13.451 Å; angles 90.00, 90.30, 90.00 degrees
Positions (direct):
Rb: 0.000 0.000 0.000
Rb: 0.486 0.500 0.312
Zr: 0.492 0.500 0.581
Zr: 0.995 0.500 0.759
Tl: 0.495 0.000 0.748
Tl: 0.991 0.000 0.532



Entry 15:
SnTeAu | GGA-PBE | optimized geometry

raw total energy = -3.515 eV/atom
uncorrected formation energy = -41.2 meV per atom

Cell lengths 4.927, 4.927, 4.927 Å; angles 60.00, 60.00, 60.00 degrees
Positions (direct):
Sn: 0.000 0.000 0.000
Te: 0.500 0.500 0.500
Au: 0.750 0.750 0.750



Entry 16:
TaSb2Ru | GGA-PBE | optimized geometry

raw total energy = -7.220 eV/atom
uncorrected formation energy = 123.3 meV per atom
ΔE to the lowest computed polymorph = 201.4 meV/atom

Cell lengths 3.592, 3.592, 6.074 Å; angles 90.00, 90.00, 90.00 degrees
Positions (direct):
Ta: 0.000 0.000 0.000
Sb: 0.000 0.000 0.477
Sb: 0.500 0.500 0.813
Ru: 0.500 0.500 0.301



Entry 17:
B2PbIO8 | GGA-PBE | optimized geometry

raw total energy = -5.953 eV/atom
uncorrected formation energy = -1096.7 meV per atom

Cell lengths 4.618, 4.618, 7.385 Å; angles 90.14, 90.14, 66.43 degrees
Positions (direct):
B: 0.148 0.148 0.293
B: 0.852 0.852 0.707
Pb: 0.500 0.500 0.000
I: 0.500 0.500 0.500
O: 0.204 0.204 0.111
O: 0.213 0.725 0.691
O: 0.261 0.261 0.452
O: 0.275 0.787 0.309
O: 0.725 0.213 0.691
O: 0.739 0.739 0.548
O: 0.787 0.275 0.309
O: 0.796 0.796 0.889



Entry 18:
Cs2HgBi | GGA-PBE | optimized geometry

raw total energy = -1.327 eV/atom
ΔE to the lowest computed polymorph = 481.0 meV/atom

Cell lengths 13.494, 13.494, 13.494 Å; angles 17.81, 17.81, 17.81 degrees
Positions (direct):
Cs: 0.092 0.092 0.092
Cs: 0.908 0.908 0.908
Hg: 0.500 0.500 0.500
Bi: 0.000 0.000 0.000